1.
Here is a geometry-optimized La2SiIr structure from Alexandria. Energies are from PBE.

## Properties
- crystal system = orthorhombic
- uncorrected formation energy (eV per atom) = -0.52

Cell: 3.4821 3.5743 7.8500 Å, 90.00 90.00 90.00°
Closest atoms and distances in Å follow each position.
Space group Pmmm (No. 47)
One atom of each set of equivalent atoms:
La 0.0000 0.0000 0.2316 x2  4 Ir 3.09, 4 Si 3.27
Si 0.5000 0.5000 0.5000 x1  8 La 3.27, 4 Si 3.48-3.57
Ir 0.5000 0.5000 0.0000 x1  8 La 3.09

2.
Here is a geometry-optimized Ac2DyAs3Pd4 structure from Alexandria. Energies are from PBE.

## Properties
- crystal system = tetragonal

Cell: 4.3920 4.3920 11.4916 Å, 90.00 90.00 90.00°
Closest atoms and distances in Å follow each position.
Space group P-4m2 (No. 115)
One atom of each set of equivalent atoms:
Ac 0.0000 0.5000 0.2173 x2  4 As 3.28, 8 Pd 3.33-3.45
Dy 0.0000 0.0000 0.5000 x1  4 Pd 2.81, 4 As 3.11
As 0.0000 0.5000 0.8737 x2  5 Pd 2.54-2.63
As 0.5000 0.5000 0.5000 x1  4 Pd 2.81, 4 Dy 3.11
Pd 0.0000 0.0000 0.0000 x1  4 As 2.63
Pd 0.0000 0.5000 0.6528 x2  3 As 2.54-2.81, 2 Dy 2.81
Pd 0.5000 0.5000 0.0000 x1  4 As 2.63

3.
Here is a geometry-optimized Mg2H5Ir2 structure from Alexandria. Energies are from PBE.

## Properties
- crystal system = triclinic
- polymorph energy (0 for the lowest one) (meV per atom) = 48

Cell: 3.0194 4.2298 7.2944 Å, 99.97 101.89 90.09°
Closest atoms and distances in Å follow each position.
Space group P1 (No. 1)
One atom of each set of equivalent atoms:
Mg 0.0000 0.0000 0.0000 x1  5 H 2.09-2.24
Mg 0.2760 0.8702 0.5520 x1  3 H 2.10-2.24
H 0.1356 0.3635 0.2692 x1  2 Ir 1.76-1.77
H 0.3977 0.2786 0.7993 x1  2 Ir 1.74
H 0.5836 0.8450 0.1676 x1  1 Ir 1.64
H 0.7529 0.5211 0.5068 x1  2 Ir 1.77-1.78
H 0.9850 0.4995 0.9750 x1  1 Ir 1.63
Ir 0.6611 0.1822 0.3221 x1  4 H 1.64-1.77
Ir 0.8705 0.4424 0.7436 x1  4 H 1.63-1.78

4.
Here is a geometry-optimized MoAsPb2 structure from Alexandria. Energies are from PBE.

## Properties
- crystal system = orthorhombic

Cell: 3.2917 3.9337 15.4313 Å, 90.00 90.00 90.00°
Closest atoms and distances in Å follow each position.
Space group Immm (No. 71)
One atom of each set of equivalent atoms:
Mo 0.0000 0.0000 0.0000 x2  4 As 2.56
As 0.0000 0.0000 0.5000 x2  4 Mo 2.56
Pb 0.0000 0.5000 0.3301 x4  2 Mo 3.10, 2 As 3.28, 2 Pb 3.29

| no. | VASP energy (eV per atom) |
| --- | --- |
| 1 | -6.56 |
| 2 | -5.72 |
| 3 | -4.38 |
| 4 | -5.43 |